## Lu2CoIr (GGA-PBE)

Data for an optimized crystal structure of Lu2CoIr.

Calculated values
* energy of formation: -0.643 eV per atom
* total DFT energy (no corrections): -0.2534 Ha/atom

Unit cell a=4.6911 b=4.6893 c=4.6911 alpha=60.01 beta=59.97 gamma=60.02
Fractional coordinates of all 4 atoms:
1 Lu 0.5000 0.5000 0.5000
2 Lu 0.0000 0.0000 0.0000
3 Ir 0.7500 0.7500 0.7500
4 Co 0.2500 0.2500 0.2500